Ag2BiAuSe: optimized geometry, PBE-GGA.

It has space group P4/mmm (No. 123), with a = 5.4365 Å, b = 5.4365 Å, c = 5.3360 Å, α = 90.00°, β = 90.00° and γ = 90.00°. The asymmetric unit holds Ag at (0.0000, 0.5000, 0.0000), Bi at (0.0000, 0.0000, 0.0000), Au at (0.0000, 0.0000, 0.5000) and Se at (0.5000, 0.5000, 0.5000).

As for the total magnetization: 1.943 μB/cell. Its crystal system is tetragonal. The calculation puts the electronic total energy at -2.506 eV per atom. The value obtained for the calculated volume is 31.54 A^3/atom. Its energy relative to the elements, uncorrected is 0.76 eV per atom.